The following is a DFT calculation (GGA-PBE) of a relaxed structure of NbSb2TeH.

Calculated values
Relative energy among the computed polymorphs (meV per atom): 62
Electronic total energy (eV per atom): -4.287
Magnetization (μB/f.u.): 0.76
Volume (Å³/f.u.): 157.20

abc: 5.3870 5.3870 5.4170
angles: 90.00 90.00 90.00
With the nearest neighbours (Å) after each atom.
Fractional positions:
Nb (0.0000, 0.0000, 0.0000)  4 Sb 2.69, 2 Te 2.71
Sb (0.0000, 0.5000, 0.0000)  2 Nb 2.69
Sb (0.5000, 0.0000, 0.0000)  2 Nb 2.69
Te (0.0000, 0.0000, 0.5000)  2 Nb 2.71
H (0.5000, 0.5000, 0.5000)  4 Te 3.81, 8 Sb 3.82